Computed, not measured: a relaxed structure of Th5TlHg2 at the PBE-GGA level of DFT.

Output
Space group = I4/mmm (139)
D(E_F) = 10.0 states/eV per cell
Formation energy from the elements = -0.97 eV per formula unit

abc: 4.9904 4.9904 10.0386
angles: 104.39 104.39 90.00
With the nearest neighbours (Å) after each atom.
Fractional positions:
Th 0.6290 0.1290 0.2579  4 Hg 3.37-3.38, 2 Tl 3.48, 6 Th 3.48-3.53
Th 0.8710 0.3710 0.7421  4 Hg 3.37-3.38, 6 Th 3.48-3.53, 2 Tl 3.48
Th 0.3710 0.8710 0.7421  4 Hg 3.37-3.38, 2 Tl 3.48, 6 Th 3.48-3.53
Tl 0.0000 0.0000 0.0000  12 Th 3.48-3.53
Th 0.1290 0.6290 0.2579  4 Hg 3.37-3.38, 6 Th 3.48-3.53, 2 Tl 3.48
Th 0.5000 0.5000 0.0000  8 Th 3.48, 4 Tl 3.53
Hg 0.7502 0.7502 0.5004  8 Th 3.37-3.38, 4 Hg 3.53
Hg 0.2498 0.2498 0.4996  8 Th 3.37-3.38, 4 Hg 3.53



Computed, not measured: a relaxed structure of Hf2Tl2H at the PBE-GGA level of DFT.

Output
Space group = P4/mbm (127)
D(E_F) = 6.9 states/eV per cell
Final energy = -5.50 eV per atom

abc: 6.1118 6.1118 5.3067
angles: 90.00 90.00 90.00
With the nearest neighbours (Å) after each atom.
Fractional positions:
H 0.0000 0.0000 0.0000  4 Hf 2.26
Hf 0.1718 0.3282 0.0000  2 H 2.26
Hf 0.8282 0.6718 0.0000  2 H 2.26
Tl 0.3246 0.1754 0.5000  2 Hf 2.96, 5 Tl 3.03-3.19
H 0.5000 0.5000 0.0000  4 Hf 2.26
Tl 0.6754 0.8246 0.5000  2 Hf 2.96, 5 Tl 3.03-3.19
Tl 0.8246 0.3246 0.5000  2 Hf 2.96, 5 Tl 3.03-3.19
Tl 0.1754 0.6754 0.5000  2 Hf 2.96, 5 Tl 3.03-3.19
Hf 0.3282 0.8282 0.0000  2 H 2.26
Hf 0.6718 0.1718 0.0000  2 H 2.26



Computed, not measured: a relaxed structure of PmPr2PuN4 at the PBE-GGA level of DFT.

Output
Space group = P2/m (10)
D(E_F) = 8.0 states/eV per cell
E_form (uncorrected) = -10.50 eV per formula unit

abc: 3.6120 6.2288 6.2459
angles: 109.21 90.00 90.00
With the nearest neighbours (Å) after each atom.
Fractional positions:
Pm 0.5000 0.5000 0.0000  6 N 2.53-2.54
Pu 0.0000 0.0000 0.0000  6 N 2.42-2.45
N 0.0000 0.2414 0.7661  1 Pu 2.42, 2 Pm 2.54, 3 Pr 2.58-2.67
N 0.5000 0.2314 0.2274  2 Pu 2.45, 1 Pm 2.53, 3 Pr 2.57-2.66
Pr 0.0000 0.5000 0.5000  6 N 2.66-2.67
Pr 0.5000 0.0000 0.5000  6 N 2.57-2.58
N 0.0000 0.7586 0.2339  1 Pu 2.42, 2 Pm 2.54, 3 Pr 2.58-2.67
N 0.5000 0.7686 0.7726  2 Pu 2.45, 1 Pm 2.53, 3 Pr 2.57-2.66



Computed, not measured: a relaxed structure of BaAgSn3 at the PBE-GGA level of DFT.

Output
Space group = Pm-3m (221)
D(E_F) = 2.7 states/eV per cell
Formation energy from the elements = -0.25 eV per formula unit

abc: 5.4888 5.4888 5.4888
angles: 90.00 90.00 90.00
With the nearest neighbours (Å) after each atom.
Fractional positions:
Sn 0.0000 0.0000 0.5000  2 Ag 2.74
Ag 0.0000 0.0000 0.0000  6 Sn 2.74
Sn 0.0000 0.5000 0.0000  2 Ag 2.74
Sn 0.5000 0.0000 0.0000  2 Ag 2.74
Ba 0.5000 0.5000 0.5000  12 Sn 3.88



Computed, not measured: a relaxed structure of Mg4Ag5 at the PBE-GGA level of DFT.

Output
Distance to the lowest polymorph of the same formula = 0.0 meV/atom
Space group = P6_3/mcm (193)
D(E_F) = 2.2 states/eV per cell
Formation energy from the elements = -1.63 eV per formula unit

abc: 8.1861 8.1861 5.7809
angles: 90.00 90.00 60.00
With the nearest neighbours (Å) after each atom.
Fractional positions:
Mg 0.6396 0.0000 0.7500  9 Ag 2.70-3.00
Mg 0.0000 0.0000 0.0000  2 Mg 2.89, 6 Ag 2.92
Ag 0.6907 0.3093 0.7500  7 Mg 2.70-2.92
Mg 0.6396 0.3604 0.2500  9 Ag 2.70-3.00
Ag 0.6667 0.6667 0.5000  8 Ag 2.89-3.18, 6 Mg 3.00
Mg 0.0000 0.6396 0.2500  9 Ag 2.70-3.00
Mg 0.0000 0.3604 0.7500  9 Ag 2.70-3.00
Ag 0.0000 0.6907 0.7500  7 Mg 2.70-2.92
Ag 0.3093 0.6907 0.2500  7 Mg 2.70-2.92
Ag 0.0000 0.3093 0.2500  7 Mg 2.70-2.92
Ag 0.3093 0.0000 0.7500  7 Mg 2.70-2.92
Mg 0.3604 0.0000 0.2500  9 Ag 2.70-3.00
Ag 0.6667 0.6667 0.0000  8 Ag 2.89-3.18, 6 Mg 3.00
Ag 0.3333 0.3333 0.5000  8 Ag 2.89-3.18, 6 Mg 3.00
Ag 0.3333 0.3333 0.0000  8 Ag 2.89-3.18, 6 Mg 3.00
Mg 0.3604 0.6396 0.7500  9 Ag 2.70-3.00
Ag 0.6907 0.0000 0.2500  7 Mg 2.70-2.92
Mg 0.0000 0.0000 0.5000  2 Mg 2.89, 6 Ag 2.92



Computed, not measured: a relaxed structure of MgHgTeI2 at the PBE-GGA level of DFT.

Output
Distance to the lowest polymorph of the same formula = 0.0 meV/atom
Space group = P4/mmm (123)
D(E_F) = 4.7 states/eV per cell
E_form (uncorrected) = -0.80 eV per formula unit

abc: 5.7397 5.7397 5.8341
angles: 90.00 90.00 90.00
With the nearest neighbours (Å) after each atom.
Fractional positions:
Te 0.0000 0.0000 0.5000  2 Mg 2.92
Hg 0.5000 0.5000 0.5000  4 Te 4.06, 8 I 4.09
Mg 0.0000 0.0000 0.0000  4 I 2.87, 2 Te 2.92
I 0.0000 0.5000 0.0000  2 Mg 2.87
I 0.5000 0.0000 0.0000  2 Mg 2.87



Computed, not measured: a relaxed structure of CaPu2Si3Au12 at the PBE-GGA level of DFT.

Output
Space group = R-3m (166)
D(E_F) = 31.3 states/eV per cell
E_form (uncorrected) = -1.65 eV per formula unit

abc: 7.7490 7.7490 7.7490
angles: 71.53 71.53 71.53
With the nearest neighbours (Å) after each atom.
Fractional positions:
Si 0.5000 0.0000 0.0000  6 Au 2.45-2.51
Au 0.3039 0.8530 0.3039  2 Si 2.51
Ca 0.0000 0.0000 0.0000  6 Au 2.92
Au 0.3039 0.3039 0.8530  2 Si 2.51
Pu 0.5891 0.5891 0.5891  6 Au 2.92-3.15, 1 Pu 3.06
Si 0.0000 0.0000 0.5000  6 Au 2.45-2.51
Au 0.1597 0.6066 0.1597  1 Si 2.45
Au 0.1597 0.1597 0.6066  1 Si 2.45
Au 0.8403 0.8403 0.3934  1 Si 2.45
Si 0.0000 0.5000 0.0000  6 Au 2.45-2.51
Pu 0.4109 0.4109 0.4109  6 Au 2.92-3.15, 1 Pu 3.06
Au 0.1470 0.6961 0.6961  2 Si 2.51
Au 0.6961 0.1470 0.6961  2 Si 2.51
Au 0.3934 0.8403 0.8403  1 Si 2.45
Au 0.6066 0.1597 0.1597  1 Si 2.45
Au 0.8530 0.3039 0.3039  2 Si 2.51
Au 0.8403 0.3934 0.8403  1 Si 2.45
Au 0.6961 0.6961 0.1470  2 Si 2.51



Computed, not measured: a relaxed structure of Tb2CeDyHo4 at the PBE-GGA level of DFT.

Output
Space group = P2/m (10)
D(E_F) = 13.4 states/eV per cell
Formation energy from the elements = 0.32 eV per formula unit

abc: 3.5319 6.1189 11.7099
angles: 79.92 90.00 90.00
With the nearest neighbours (Å) after each atom.
Fractional positions:
Ho 0.5000 0.7461 0.2513  6 Ho 3.50-3.56, 2 Ce 3.51, 3 Tb 3.53-3.55, 1 Dy 3.53
Ho 0.0000 0.7475 0.7499  6 Ho 3.50-3.56, 1 Ce 3.52, 2 Dy 3.53, 3 Tb 3.53-3.54
Ce 0.0000 0.5000 0.5000  6 Ho 3.51-3.52, 2 Ce 3.53, 4 Tb 3.53
Ho 0.0000 0.2525 0.2501  6 Ho 3.50-3.56, 1 Ce 3.52, 2 Dy 3.53, 3 Tb 3.53-3.54
Tb 0.0000 0.0000 0.0000  2 Tb 3.53, 4 Dy 3.53, 6 Ho 3.54-3.55
Dy 0.5000 0.5000 0.0000  6 Ho 3.53, 2 Dy 3.53, 4 Tb 3.53
Tb 0.5000 0.0000 0.5000  2 Tb 3.53, 6 Ho 3.53, 4 Ce 3.53
Ho 0.5000 0.2539 0.7487  6 Ho 3.50-3.56, 2 Ce 3.51, 3 Tb 3.53-3.55, 1 Dy 3.53



Computed, not measured: a relaxed structure of CrCuMo2 at the PBE-GGA level of DFT.

Output
Distance to the lowest polymorph of the same formula = 31.4 meV/atom
Space group = Cmm2 (35)
D(E_F) = 2.4 states/eV per cell
Formation energy from the elements = 0.81 eV per formula unit

abc: 2.6285 2.6285 8.5063
angles: 90.00 90.00 106.61
With the nearest neighbours (Å) after each atom.
Fractional positions:
Cu 0.5000 0.5000 0.7381  2 Cr 2.52, 4 Cu 2.63, 2 Mo 2.68
Cr 0.0000 0.0000 0.5060  2 Cu 2.52, 2 Mo 2.60, 4 Cr 2.63
Mo 0.0000 0.0000 0.9930  6 Mo 2.63-2.78, 2 Cu 2.68
Mo 0.5000 0.5000 0.2630  2 Cr 2.60, 6 Mo 2.63-2.78



Computed, not measured: a relaxed structure of MnCuPH at the PBE-GGA level of DFT.

Output
Distance to the lowest polymorph of the same formula = 80.8 meV/atom
Space group = Imm2 (44)
D(E_F) = 3.9 states/eV per cell

abc: 2.8519 4.2028 6.4580
angles: 90.00 90.00 90.00
With the nearest neighbours (Å) after each atom.
Fractional positions:
H 0.5000 0.5000 0.7390  2 Mn 1.68
Mn 0.5000 0.0000 0.3770  2 H 1.68
Mn 0.0000 0.5000 0.8770  2 H 1.68
P 0.5000 0.5000 0.1652  4 Mn 2.35-2.51, 4 Cu 2.43-2.46, 4 H 2.58
Cu 0.0000 0.5000 0.4755  2 H 2.22, 4 P 2.43-2.46
Cu 0.5000 0.0000 0.9755  2 H 2.22, 4 P 2.43-2.46
H 0.0000 0.0000 0.2390  2 Mn 1.68
P 0.0000 0.0000 0.6652  4 Mn 2.35-2.51, 4 Cu 2.43-2.46, 4 H 2.58



Computed, not measured: a relaxed structure of SrLa2Sc at the PBE-GGA level of DFT.

Output
Distance to the lowest polymorph of the same formula = 113.1 meV/atom
Space group = Imm2 (44)
D(E_F) = 6.3 states/eV per cell
Formation energy from the elements = 0.85 eV per formula unit

abc: 7.0834 7.0834 7.0834
angles: 147.22 129.59 61.44
With the nearest neighbours (Å) after each atom.
Fractional positions:
Sc 0.4924 0.4924 0.0000  6 La 3.32-3.62, 2 Sr 3.50
La 0.0044 0.0044 0.0000  4 Sc 3.62, 4 La 3.86-4.00, 2 Sr 3.91
La 0.2751 0.7751 0.5000  2 Sc 3.32, 4 Sr 3.66
Sr 0.7281 0.2281 0.5000  2 Sc 3.50, 6 La 3.66-3.91



Computed, not measured: a relaxed structure of NaRu3O at the PBE-GGA level of DFT.

Output
Distance to the lowest polymorph of the same formula = 0.0 meV/atom
Space group = Pm-3m (221)
D(E_F) = 6.7 states/eV per cell
E_form (uncorrected) = 2.55 eV per formula unit

abc: 4.1176 4.1176 4.1176
angles: 90.00 90.00 90.00
With the nearest neighbours (Å) after each atom.
Fractional positions:
Na 0.5000 0.5000 0.5000  12 Ru 2.91
O 0.0000 0.0000 0.0000  6 Ru 2.06
Ru 0.5000 0.0000 0.0000  2 O 2.06
Ru 0.0000 0.0000 0.5000  2 O 2.06
Ru 0.0000 0.5000 0.0000  2 O 2.06